First-principles (PBE) data for an optimized crystal structure of MgOs2Au2, as listed in Alexandria.

## Properties
The calculation puts the energy relative to the lowest polymorph listed for this composition at 0.00 eV/f.u. Its total moment is 0.00 μB per atom. The formation energy is 3.112 eV/f.u. The total energy is -0.404 Ry per atom. Its density of states at the Fermi level is 2.2 states/eV/f.u.

Unit cell a=7.5859 b=7.5859 c=3.0702 alpha=90.00 beta=90.00 gamma=90.00
Fractional coordinates of all 10 atoms:
Au1 0.6827 0.8173 0.5000
Au2 0.3173 0.1827 0.5000
Au3 0.1827 0.6827 0.5000
Au4 0.8173 0.3173 0.5000
Os1 0.1157 0.3843 0.0000
Os2 0.8843 0.6157 0.0000
Os3 0.6157 0.1157 0.0000
Os4 0.3843 0.8843 0.0000
Mg1 0.5000 0.5000 0.0000
Mg2 0.0000 0.0000 0.0000